[1]
# meta-GGA SCAN CuHgS2, single point on PBEsol structure
data_CuHgS2
_cell_length_a 5.535
_cell_length_b 5.535
_cell_length_c 10.750
_cell_angle_alpha 90.00
_cell_angle_beta 90.00
_cell_angle_gamma 90.00
_space_group_name_H-M_alt 'I -4 2 d'
_space_group_IT_number 122
_space_group_name_Hall 'I -4 2bw'
loop_
_atom_site_label
_atom_site_type_symbol
_atom_site_fract_x
_atom_site_fract_y
_atom_site_fract_z
_atom_site_occupancy
Cu1 Cu 0.000 0.000 0.000 1
Hg1 Hg 0.000 0.000 0.500 1
S1 S 0.203 0.250 0.125 1
# E_form (uncorrected)	-66	kJ/mol of formula units


[2]
# meta-GGA SCAN CuHgSb2, single point on PBEsol structure
data_CuHgSb2
_cell_length_a 6.923
_cell_length_b 3.946
_cell_length_c 7.057
_cell_angle_alpha 90.00
_cell_angle_beta 107.57
_cell_angle_gamma 90.00
_space_group_name_H-M_alt 'C 1 2/m 1'
_space_group_IT_number 12
loop_
_space_group_symop_operation_xyz
'x,y,z'
'-x,-y,-z'
'-x,y,-z'
'x,-y,z'
'x+1/2,y+1/2,z'
'-x+1/2,-y+1/2,-z'
'-x+1/2,y+1/2,-z'
'x+1/2,-y+1/2,z'
loop_
_atom_site_label
_atom_site_type_symbol
_atom_site_fract_x
_atom_site_fract_y
_atom_site_fract_z
_atom_site_occupancy
Cu1 Cu 0.000 0.000 0.000 1
Hg1 Hg 0.000 0.500 0.500 1
Sb1 Sb 0.227 0.500 0.190 1
# E_form (uncorrected)	28	kJ/mol of formula units


[3]
# meta-GGA SCAN CuHg2Sb, single point on PBEsol structure
data_CuHg2Sb
_cell_length_a 6.932
_cell_length_b 6.932
_cell_length_c 6.932
_cell_angle_alpha 90.00
_cell_angle_beta 90.00
_cell_angle_gamma 90.00
_space_group_name_H-M_alt 'F -4 3 m'
_space_group_IT_number 216
_space_group_name_Hall 'F -4 2 3'
loop_
_atom_site_label
_atom_site_type_symbol
_atom_site_fract_x
_atom_site_fract_y
_atom_site_fract_z
_atom_site_occupancy
Cu1 Cu 0.000 0.000 0.000 1
Hg1 Hg 0.000 0.000 0.500 1
Hg2 Hg 0.250 0.250 0.750 1
Sb1 Sb 0.250 0.250 0.250 1
# E_form (uncorrected)	152	kJ/mol of formula units


[4]
# meta-GGA SCAN CuHgSb2, single point on PBEsol structure
data_CuHgSb2
_cell_length_a 4.596
_cell_length_b 4.596
_cell_length_c 4.122
_cell_angle_alpha 90.00
_cell_angle_beta 90.00
_cell_angle_gamma 90.00
_space_group_name_H-M_alt 'P 4/m m m'
_space_group_IT_number 123
_space_group_name_Hall '-P 4 2'
loop_
_atom_site_label
_atom_site_type_symbol
_atom_site_fract_x
_atom_site_fract_y
_atom_site_fract_z
_atom_site_occupancy
Cu1 Cu 0.000 0.000 0.000 1
Hg1 Hg 0.500 0.500 0.000 1
Sb1 Sb 0.000 0.500 0.500 1
# E_form (uncorrected)	160	kJ/mol of formula units


[5]
# meta-GGA SCAN CuHg4Sb, single point on PBEsol structure
data_CuHg4Sb
_cell_length_a 8.163
_cell_length_b 8.163
_cell_length_c 8.163
_cell_angle_alpha 90.00
_cell_angle_beta 90.00
_cell_angle_gamma 90.00
_space_group_name_H-M_alt 'F -4 3 m'
_space_group_IT_number 216
_space_group_name_Hall 'F -4 2 3'
loop_
_atom_site_label
_atom_site_type_symbol
_atom_site_fract_x
_atom_site_fract_y
_atom_site_fract_z
_atom_site_occupancy
Cu1 Cu 0.000 0.000 0.000 1
Hg1 Hg 0.125 0.125 0.375 1
Sb1 Sb 0.250 0.250 0.750 1
# E_form (uncorrected)	305	kJ/mol of formula units


[6]
# meta-GGA SCAN CuHg2Sb, single point on PBEsol structure
data_CuHg2Sb
_cell_length_a 3.056
_cell_length_b 3.056
_cell_length_c 8.813
_cell_angle_alpha 90.00
_cell_angle_beta 90.00
_cell_angle_gamma 90.00
_space_group_name_H-M_alt 'P 4/m m m'
_space_group_IT_number 123
_space_group_name_Hall '-P 4 2'
loop_
_atom_site_label
_atom_site_type_symbol
_atom_site_fract_x
_atom_site_fract_y
_atom_site_fract_z
_atom_site_occupancy
Cu1 Cu 0.000 0.000 0.000 1
Hg1 Hg 0.500 0.500 0.197 1
Sb1 Sb 0.000 0.000 0.500 1
# E_form (uncorrected)	93	kJ/mol of formula units


[7]
# meta-GGA SCAN CuHg2Sb, single point on PBEsol structure
data_CuHg2Sb
_cell_length_a 4.197
_cell_length_b 4.197
_cell_length_c 9.290
_cell_angle_alpha 90.00
_cell_angle_beta 90.00
_cell_angle_gamma 90.00
_space_group_name_H-M_alt 'I 4/m m m'
_space_group_IT_number 139
_space_group_name_Hall '-I 4 2'
loop_
_atom_site_label
_atom_site_type_symbol
_atom_site_fract_x
_atom_site_fract_y
_atom_site_fract_z
_atom_site_occupancy
Cu1 Cu 0.000 0.000 0.000 1
Hg1 Hg 0.000 0.500 0.250 1
Sb1 Sb 0.000 0.000 0.500 1
# E_form (uncorrected)	134	kJ/mol of formula units


[8]
# meta-GGA SCAN CuHg2Sb, single point on PBEsol structure
data_CuHg2Sb
_cell_length_a 13.189
_cell_length_b 3.112
_cell_length_c 4.327
_cell_angle_alpha 90.00
_cell_angle_beta 100.37
_cell_angle_gamma 90.00
_space_group_name_H-M_alt 'C 1 2/m 1'
_space_group_IT_number 12
loop_
_space_group_symop_operation_xyz
'x,y,z'
'-x,-y,-z'
'-x,y,-z'
'x,-y,z'
'x+1/2,y+1/2,z'
'-x+1/2,-y+1/2,-z'
'-x+1/2,y+1/2,-z'
'x+1/2,-y+1/2,z'
loop_
_atom_site_label
_atom_site_type_symbol
_atom_site_fract_x
_atom_site_fract_y
_atom_site_fract_z
_atom_site_occupancy
Cu1 Cu 0.000 0.000 0.000 1
Hg1 Hg 0.191 0.500 0.205 1
Sb1 Sb 0.000 0.500 0.500 1
# E_form (uncorrected)	71	kJ/mol of formula units


[9]
# meta-GGA SCAN CuHg2Sb, single point on PBEsol structure
data_CuHg2Sb
_cell_length_a 3.023
_cell_length_b 5.205
_cell_length_c 10.506
_cell_angle_alpha 90.00
_cell_angle_beta 90.00
_cell_angle_gamma 90.00
_space_group_name_H-M_alt 'I m m m'
_space_group_IT_number 71
_space_group_name_Hall '-I 2 2'
loop_
_atom_site_label
_atom_site_type_symbol
_atom_site_fract_x
_atom_site_fract_y
_atom_site_fract_z
_atom_site_occupancy
Cu1 Cu 0.000 0.000 0.000 1
Hg1 Hg 0.000 0.500 0.288 1
Sb1 Sb 0.000 0.000 0.500 1
# E_form (uncorrected)	98	kJ/mol of formula units


[10]
# meta-GGA SCAN ScCuHg2, single point on PBEsol structure
data_ScCuHg2
_cell_length_a 3.3554
_cell_length_b 3.3554
_cell_length_c 24.2475
_cell_angle_alpha 90.00
_cell_angle_beta 90.00
_cell_angle_gamma 120.00
_space_group_name_H-M_alt 'R -3 m'
_space_group_IT_number 166
_space_group_name_Hall '-R 3 2"'
loop_
_atom_site_label
_atom_site_type_symbol
_atom_site_fract_x
_atom_site_fract_y
_atom_site_fract_z
_atom_site_occupancy
Sc1 Sc 0.0000 0.0000 0.0000 1
Cu1 Cu 0.0000 0.0000 0.5000 1
Hg1 Hg 0.0000 0.0000 0.2424 1
# E_form	-0.125	eV per atom


[11]
# meta-GGA SCAN Sc2CuHg, single point on PBEsol structure
data_Sc2CuHg
_cell_length_a 3.2727
_cell_length_b 3.2727
_cell_length_c 26.2548
_cell_angle_alpha 90.00
_cell_angle_beta 90.00
_cell_angle_gamma 120.00
_space_group_name_H-M_alt 'R 3 m'
_space_group_IT_number 160
_space_group_name_Hall 'R 3 -2"'
loop_
_atom_site_label
_atom_site_type_symbol
_atom_site_fract_x
_atom_site_fract_y
_atom_site_fract_z
_atom_site_occupancy
Sc1 Sc 0.0000 0.0000 0.0000 1
Sc2 Sc 0.0000 0.0000 0.2347 1
Cu1 Cu 0.0000 0.0000 0.7399 1
Hg1 Hg 0.0000 0.0000 0.4797 1
# E_form	-0.059	eV per atom


[12]
# meta-GGA SCAN ScCuHg2, single point on PBEsol structure
data_ScCuHg2
_cell_length_a 3.354
_cell_length_b 3.354
_cell_length_c 6.625
_cell_angle_alpha 90.00
_cell_angle_beta 90.00
_cell_angle_gamma 90.00
_space_group_name_H-M_alt 'P 4 m m'
_space_group_IT_number 99
loop_
_space_group_symop_operation_xyz
'x,y,z'
'-y,x,z'
'-x,-y,z'
'y,-x,z'
'-x,y,z'
'y,x,z'
'x,-y,z'
'-y,-x,z'
loop_
_atom_site_label
_atom_site_type_symbol
_atom_site_fract_x
_atom_site_fract_y
_atom_site_fract_z
_atom_site_occupancy
Sc1 Sc 0.000 0.000 0.000 1
Cu1 Cu 0.500 0.500 0.222 1
Hg1 Hg 0.000 0.000 0.441 1
Hg2 Hg 0.500 0.500 0.737 1
# E_form	-0.204	eV per atom